(1)
4
Lattice="4.704 0.000 0.000 2.352 4.074 0.000 2.352 1.358 3.841" Properties=species:S:1:pos:R:3 comment="SiAsAu2 | Alexandria | PBE-GGA | optimized geometry" n_ef_per_ev_fu=2.04 total_energy_ev_per_atom=-3.786 sg="F-43m (216)" polymorph_energy_ev_per_fu=1.153 pbc="T T T"
Si 7.057 4.074 2.881
As 4.704 2.716 1.921
Au 0.000 0.000 0.000
Au 2.352 1.358 0.960

(2)
4
Lattice="-0.521 3.657 1.152 0.502 1.142 3.662 5.782 2.616 0.263" Properties=species:S:1:pos:R:3 comment="SiAsAu2 | Alexandria | PBE-GGA | optimized geometry" n_ef_per_ev_fu=1.53 total_energy_ev_per_atom=-4.030 sg="C2/m (12)" polymorph_energy_ev_per_fu=0.176 pbc="T T T"
Au 0.129 4.827 4.782
Au 2.735 3.680 2.571
As 4.323 5.561 3.808
Si 1.441 1.854 1.269

(3)
4
Lattice="6.914 0.395 -0.695 6.176 3.131 -0.695 1.696 0.457 3.815" Properties=species:S:1:pos:R:3 comment="SiAsAu2 | Alexandria | PBE-GGA | optimized geometry" n_ef_per_ev_fu=1.25 total_energy_ev_per_atom=-3.979 sg="Cm (8)" polymorph_energy_ev_per_fu=0.381 pbc="T T T"
As 11.584 3.120 1.596
Si 7.143 1.924 1.321
Au 3.162 0.852 0.863
Au 1.984 0.534 3.670

(4)
3
Lattice="-2.880 -2.651 -6.226 -2.493 -5.011 -4.771 -2.722 -0.048 0.651" Properties=species:S:1:pos:R:3 comment="SiAsAu | Alexandria | PBE-GGA | optimized geometry" n_ef_per_ev_fu=1.16 total_energy_ev_per_atom=-4.060 sg="I4mm (107)" polymorph_energy_ev_per_fu=1.045 pbc="T T T"
Au -3.584 -2.525 -3.138
As -5.357 -7.617 -10.929
Si -4.526 -5.230 -7.277

(5)
4
Lattice="6.910 -0.012 -0.007 5.966 3.487 -0.007 5.966 1.610 3.093" Properties=species:S:1:pos:R:3 comment="SiAsAu2 | Alexandria | PBE-GGA | optimized geometry" n_ef_per_ev_fu=1.20 total_energy_ev_per_atom=-4.074 sg="R3m (160)" polymorph_energy_ev_per_fu=0.000 pbc="T T T"
As 14.286 3.855 2.334
Si 9.394 2.535 1.535
Au 0.061 0.016 0.010
Au 4.524 1.221 0.739

(6)
4
Lattice="-1.942 3.087 -5.008 -5.704 0.867 -2.258 3.729 0.246 4.941" Properties=species:S:1:pos:R:3 comment="SiAsAu2 | Alexandria | PBE-GGA | optimized geometry" n_ef_per_ev_fu=1.53 total_energy_ev_per_atom=-3.905 sg="Immm (71)" polymorph_energy_ev_per_fu=0.678 pbc="T T T"
Au -3.369 1.743 -3.202
Au -0.453 0.235 -0.431
Si -2.899 1.545 -0.475
As -1.018 2.655 -1.850

(7)
8
Lattice="6.405 0.000 0.000 0.000 6.405 0.000 3.202 3.202 4.319" Properties=species:S:1:pos:R:3 comment="SiAsAu2 | Alexandria | PBE-GGA | optimized geometry" n_ef_per_ev_fu=1.97 total_energy_ev_per_atom=-3.938 sg="I-42d (122)" polymorph_energy_ev_per_fu=0.545 pbc="T T T"
Au 1.720 4.804 1.080
Au 4.685 1.601 1.080
Au 4.804 4.923 3.239
Au 8.006 7.887 3.239
Si 3.202 6.405 2.160
Si 3.202 3.202 0.000
As 6.405 3.202 2.160
As 0.000 0.000 0.000

(8)
5
Lattice="5.026 0.000 0.000 0.000 5.026 0.000 0.000 0.000 5.026" Properties=species:S:1:pos:R:3 comment="SiAs3Au | Alexandria | PBE-GGA | optimized geometry" n_ef_per_ev_fu=5.52 total_energy_ev_per_atom=-3.427 sg="Pm-3m (221)" polymorph_energy_ev_per_fu=1.750 pbc="T T T"
Au 0.000 0.000 0.000
As 0.000 2.513 0.000
As 0.000 0.000 2.513
As 2.513 0.000 0.000
Si 2.513 2.513 2.513

Calculated values (μB per cell) of M_tot for the records, taken in order: 0.000; 0.000; 0.000; 0.000; 0.000; 0.000; 0.000; 0.000.
Calculated values (meV per atom) of formation energy without anion corrections for the records, taken in order: 371; 127; 178; 390; 83; 252; 219; 1103.